No. 1
Material: Ba8Ag2Ir
Method: DFT, PBE-GGA
State: optimized geometry

Calculated values
Its formation energy is -0.14 eV per atom. Its magnetization is 0.3 Bohr magnetons per cell. The density comes out at 4.4 g cm⁻³. The calculation puts the energy above the most stable polymorph in this dataset at 0.0000 eV per atom. As for the crystal system: monoclinic.

Unit cell a=8.787 b=8.787 c=8.782 alpha=90.08 beta=90.08 gamma=57.58
Element x y z (fractional)
Ba: 0.193 0.193 0.894
Ba: 0.203 0.715 0.760
Ba: 0.285 0.797 0.240
Ba: 0.296 0.296 0.399
Ba: 0.704 0.704 0.601
Ba: 0.715 0.203 0.760
Ba: 0.797 0.285 0.240
Ba: 0.807 0.807 0.106
Ag: 0.093 0.093 0.543
Ag: 0.907 0.907 0.457
Ir: 0.000 0.000 0.000

---

No. 2
Material: Ba8Ag2Ir
Method: DFT, PBE-GGA
State: optimized geometry

Calculated values
Its formation energy is -0.07 eV per atom. Its magnetization is 0.0 Bohr magnetons per cell. The density comes out at 5.2 g cm⁻³. The calculation puts the energy above the most stable polymorph in this dataset at 0.0703 eV per atom. As for the crystal system: monoclinic.

Unit cell a=11.106 b=11.106 c=7.843 alpha=103.54 beta=103.54 gamma=30.81
Element x y z (fractional)
Ba: 0.035 0.035 0.313
Ba: 0.213 0.213 0.821
Ba: 0.348 0.348 0.543
Ba: 0.417 0.417 0.109
Ba: 0.583 0.583 0.891
Ba: 0.652 0.652 0.457
Ba: 0.787 0.787 0.179
Ba: 0.965 0.965 0.687
Ag: 0.194 0.194 0.242
Ag: 0.806 0.806 0.758
Ir: 0.500 0.500 0.500

---

No. 3
Material: BaAg2Ir
Method: DFT, PBE-GGA
State: optimized geometry

Calculated values
Its formation energy is 0.36 eV per atom. Its magnetization is 0.0 Bohr magnetons per cell. The density comes out at 10.0 g cm⁻³. The calculation puts the energy above the most stable polymorph in this dataset at 0.2826 eV per atom. As for the crystal system: tetragonal.

Unit cell a=5.560 b=5.560 c=5.560 alpha=132.85 beta=132.85 gamma=68.89
Element x y z (fractional)
Ba: 0.000 0.000 0.000
Ag: 0.250 0.750 0.500
Ag: 0.750 0.250 0.500
Ir: 0.500 0.500 0.000

---

No. 4
Material: BaAg2Ir
Method: DFT, PBE-GGA
State: optimized geometry

Calculated values
Its formation energy is 0.33 eV per atom. Its magnetization is 0.0 Bohr magnetons per cell. The density comes out at 9.8 g cm⁻³. The calculation puts the energy above the most stable polymorph in this dataset at 0.2507 eV per atom. As for the crystal system: tetragonal.

Unit cell a=3.490 b=3.490 c=7.602 alpha=90.00 beta=90.00 gamma=90.00
Element x y z (fractional)
Ba: 0.000 0.000 0.000
Ag: 0.000 0.000 0.460
Ag: 0.500 0.500 0.649
Ir: 0.500 0.500 0.271